[1]
The following is a PBE-GGA calculation of an optimized crystal structure of Pa4SiTc, from Alexandria via LeMat-Bulk.

Unit cell a=6.5209 b=6.5209 c=6.4905 alpha=90.00 beta=90.00 gamma=90.00
Element x y z (fractional)
Pa 0.2432 0.3150 0.8542
Pa 0.7568 0.6850 0.8542
Pa 0.3150 0.2432 0.3542
Pa 0.2432 0.6850 0.6458
Pa 0.7568 0.3150 0.6458
Pa 0.3150 0.7568 0.1458
Pa 0.6850 0.2432 0.1458
Pa 0.6850 0.7568 0.3542
Si 0.0000 0.0000 0.0000
Si 0.0000 0.0000 0.5000
Tc 0.0000 0.5000 0.2500
Tc 0.5000 0.0000 0.7500

Crystal system: tetragonal
DOS at the Fermi energy, states/eV per atom: 1.82
DFT total energy, eV per atom: -8.8490
ΔE_f (raw), eV per atom: 0.113


[2]
The following is a PBE-GGA calculation of an optimized crystal structure of Pa3SiTc, from Alexandria via LeMat-Bulk.

Unit cell a=4.0809 b=6.5389 c=8.7603 alpha=90.00 beta=90.00 gamma=90.00
Element x y z (fractional)
Pa 0.7500 0.7500 0.0635
Pa 0.2500 0.2500 0.9365
Pa 0.7500 0.9741 0.6891
Pa 0.7500 0.5259 0.6891
Pa 0.2500 0.0259 0.3109
Pa 0.2500 0.4741 0.3109
Si 0.7500 0.7500 0.4078
Si 0.2500 0.2500 0.5922
Tc 0.7500 0.2500 0.1286
Tc 0.2500 0.7500 0.8714

Crystal system: orthorhombic
DOS at the Fermi energy, states/eV per atom: 1.91
DFT total energy, eV per atom: -8.9350
ΔE_f (raw), eV per atom: -0.080


[3]
The following is a PBE-GGA calculation of an optimized crystal structure of Pa2Si2Tc3, from Alexandria via LeMat-Bulk.

Unit cell a=4.0452 b=5.4558 c=6.0093 alpha=97.12 beta=90.00 gamma=111.76
Element x y z (fractional)
Pa 0.5798 0.1597 0.7287
Pa 0.4202 0.8403 0.2713
Si 0.1477 0.2954 0.3911
Si 0.8523 0.7046 0.6089
Tc 0.2883 0.5767 0.8192
Tc 0.0000 0.0000 0.0000
Tc 0.7117 0.4233 0.1808

Crystal system: monoclinic
DOS at the Fermi energy, states/eV per atom: 0.80
DFT total energy, eV per atom: -9.0824
ΔE_f (raw), eV per atom: -0.377


[4]
The following is a PBE-GGA calculation of an optimized crystal structure of Pa8Si2Tc, from Alexandria via LeMat-Bulk.

Unit cell a=4.2002 b=6.9243 c=8.9497 alpha=105.39 beta=103.57 gamma=90.00
Element x y z (fractional)
Pa 0.3990 0.5280 0.7980
Pa 0.6729 0.9302 0.3457
Pa 0.8337 0.7701 0.6674
Pa 0.9653 0.2399 0.9307
Pa 0.1663 0.2299 0.3326
Pa 0.3271 0.0698 0.6543
Pa 0.6010 0.4720 0.2020
Pa 0.0347 0.7601 0.0693
Si 0.7907 0.3315 0.5813
Si 0.2093 0.6685 0.4187
Tc 0.5000 0.0000 0.0000

Crystal system: monoclinic
DOS at the Fermi energy, states/eV per atom: 1.92
DFT total energy, eV per atom: -8.9884
ΔE_f (raw), eV per atom: -0.154


[5]
The following is a PBE-GGA calculation of an optimized crystal structure of Pa6SiTc2, from Alexandria via LeMat-Bulk.

Unit cell a=5.8237 b=7.0940 c=10.1394 alpha=90.00 beta=94.36 gamma=90.00
Element x y z (fractional)
Pa 0.8306 0.9329 0.2396
Pa 0.8051 0.6455 0.5476
Pa 0.8912 0.6900 0.9307
Pa 0.6088 0.1900 0.5693
Pa 0.6949 0.1455 0.9524
Pa 0.6694 0.4329 0.2604
Pa 0.1694 0.0671 0.7604
Pa 0.1949 0.3545 0.4524
Pa 0.1088 0.3100 0.0693
Pa 0.3912 0.8100 0.4307
Pa 0.3051 0.8545 0.0476
Pa 0.3306 0.5671 0.7396
Si 0.5000 0.5000 0.0000
Si 0.0000 0.0000 0.5000
Tc 0.9341 0.3781 0.7549
Tc 0.5659 0.8781 0.7451
Tc 0.4341 0.1219 0.2549
Tc 0.0659 0.6219 0.2451

Crystal system: monoclinic
DOS at the Fermi energy, states/eV per atom: 1.69
DFT total energy, eV per atom: -9.2792
ΔE_f (raw), eV per atom: -0.042


[6]
The following is a PBE-GGA calculation of an optimized crystal structure of PaSiTc2, from Alexandria via LeMat-Bulk.

Unit cell a=3.5558 b=4.3293 c=4.3293 alpha=90.00 beta=90.00 gamma=90.00
Element x y z (fractional)
Si 0.5000 0.0000 0.0000
Pa 0.5000 0.5000 0.5000
Tc 0.0000 0.0000 0.5000
Tc 0.0000 0.5000 0.0000

Crystal system: tetragonal
DOS at the Fermi energy, states/eV per atom: 0.71
DFT total energy, eV per atom: -9.3301
ΔE_f (raw), eV per atom: -0.417